Entry 1:
CaNdS: relaxed, PBE.

Results
Total moment (μB per formula unit): 0.001
Formation energy from raw total energies (meV per atom): -953
Theoretical density (g/cm3): 4.6

Lattice parameters (Å, degrees): 4.933 4.933 8.013 72.07 72.07 60.00
Element x y z (fractional)
Nd: 0.621 0.621 0.137
Nd: 0.379 0.379 0.863
S: 0.747 0.747 0.760
S: 0.253 0.253 0.240
Ca: 0.873 0.873 0.380
Ca: 0.127 0.127 0.620

Entry 2:
CaNd3S: relaxed, PBE.

Results
Total moment (μB per formula unit): 0.000
Formation energy from raw total energies (meV per atom): -697
Theoretical density (g/cm3): 4.9

Lattice parameters (Å, degrees): 5.555 5.555 5.555 90.00 90.00 90.00
Element x y z (fractional)
Ca: 0.500 0.500 0.500
Nd: 0.500 0.000 0.000
Nd: 0.000 0.500 0.000
Nd: 0.000 0.000 0.500
S: 0.000 0.000 0.000

Copy entry 1 word for word.
CaNdS: relaxed, PBE.

Results
Total moment (μB per formula unit): 0.001
Formation energy from raw total energies (meV per atom): -953
Theoretical density (g/cm3): 4.6

Lattice parameters (Å, degrees): 4.933 4.933 8.013 72.07 72.07 60.00
Element x y z (fractional)
Nd: 0.621 0.621 0.137
Nd: 0.379 0.379 0.863
S: 0.747 0.747 0.760
S: 0.253 0.253 0.240
Ca: 0.873 0.873 0.380
Ca: 0.127 0.127 0.620

Q: Which formula does entry 2 have?
A: CaNd3S

Q: The highest total moment belongs to which entry?
A: CaNdS

Q: Among the records above, which one has the lowest formation energy from raw total energies?
A: CaNdS